# TiVF3 PBE+U relaxed
# E_tot ... -5.92 eV per atom
# Distance to the lowest polymorph of the same formula ... 0.000 eV per atom
# SG ... Pm-3m, No. 221
data_TiVF3
_chemical_formula_sum 'Ti1 V1 F3'
_cell_length_a 4.140
_cell_length_b 4.140
_cell_length_c 4.140
_cell_angle_alpha 90.00
_cell_angle_beta 90.00
_cell_angle_gamma 90.00
_space_group_name_H-M_alt 'P 1'
_space_group_IT_number 1
_space_group_name_Hall 'P 1'
loop_
_atom_site_label
_atom_site_type_symbol
_atom_site_fract_x
_atom_site_fract_y
_atom_site_fract_z
_atom_site_occupancy
Ti1 Ti 0.000 0.000 0.000 1
V1 V 0.500 0.500 0.500 1
F1 F 0.000 0.000 0.500 1
F2 F 0.500 0.000 0.000 1
F3 F 0.000 0.500 0.000 1

***

# TiVF2 PBE+U relaxed
# E_tot ... -6.20 eV per atom
# Distance to the lowest polymorph of the same formula ... 0.000 eV per atom
# SG ... R-3m, No. 166
data_TiVF2
_chemical_formula_sum 'Ti1 V1 F2'
_cell_length_a 7.614
_cell_length_b 7.614
_cell_length_c 7.614
_cell_angle_alpha 21.85
_cell_angle_beta 21.85
_cell_angle_gamma 21.85
_space_group_name_H-M_alt 'P 1'
_space_group_IT_number 1
_space_group_name_Hall 'P 1'
loop_
_atom_site_label
_atom_site_type_symbol
_atom_site_fract_x
_atom_site_fract_y
_atom_site_fract_z
_atom_site_occupancy
Ti1 Ti 0.500 0.500 0.500 1
F1 F 0.899 0.899 0.899 1
V1 V 0.000 0.000 0.000 1
F2 F 0.101 0.101 0.101 1

***

# TiVF2 PBE+U relaxed
# E_tot ... -5.85 eV per atom
# Distance to the lowest polymorph of the same formula ... 0.355 eV per atom
# SG ... I-42d, No. 122
data_TiVF2
_chemical_formula_sum 'Ti2 V2 F4'
_cell_length_a 4.950
_cell_length_b 4.950
_cell_length_c 5.960
_cell_angle_alpha 65.46
_cell_angle_beta 65.46
_cell_angle_gamma 90.00
_space_group_name_H-M_alt 'P 1'
_space_group_IT_number 1
_space_group_name_Hall 'P 1'
loop_
_atom_site_label
_atom_site_type_symbol
_atom_site_fract_x
_atom_site_fract_y
_atom_site_fract_z
_atom_site_occupancy
F1 F 0.875 0.879 0.750 1
Ti1 Ti 0.250 0.750 0.500 1
V1 V 0.750 0.250 0.500 1
F2 F 0.121 0.625 0.250 1
F3 F 0.375 0.371 0.750 1
F4 F 0.629 0.125 0.250 1
Ti2 Ti 0.500 0.500 0.000 1
V2 V 0.000 0.000 0.000 1

***

# TiV2F8 PBE+U relaxed
# E_tot ... -6.30 eV per atom
# Distance to the lowest polymorph of the same formula ... 0.100 eV per atom
# SG ... C2/m, No. 12
data_TiV2F8
_chemical_formula_sum 'Ti1 V2 F8'
_cell_length_a 4.993
_cell_length_b 5.449
_cell_length_c 5.449
_cell_angle_alpha 76.32
_cell_angle_beta 101.97
_cell_angle_gamma 101.97
_space_group_name_H-M_alt 'P 1'
_space_group_IT_number 1
_space_group_name_Hall 'P 1'
loop_
_atom_site_label
_atom_site_type_symbol
_atom_site_fract_x
_atom_site_fract_y
_atom_site_fract_z
_atom_site_occupancy
F1 F 0.790 0.154 0.154 1
V1 V 0.455 0.684 0.684 1
Ti1 Ti 0.000 0.000 0.000 1
F2 F 0.210 0.846 0.846 1
F3 F 0.281 0.331 0.954 1
F4 F 0.719 0.669 0.046 1
F5 F 0.750 0.562 0.562 1
F6 F 0.719 0.046 0.669 1
F7 F 0.250 0.438 0.438 1
F8 F 0.281 0.954 0.331 1
V2 V 0.545 0.316 0.316 1

***

# TiVF3 PBE+U relaxed
# E_tot ... -5.89 eV per atom
# Distance to the lowest polymorph of the same formula ... 0.029 eV per atom
# SG ... Pm-3m, No. 221
data_TiVF3
_chemical_formula_sum 'Ti1 V1 F3'
_cell_length_a 4.180
_cell_length_b 4.180
_cell_length_c 4.180
_cell_angle_alpha 90.00
_cell_angle_beta 90.00
_cell_angle_gamma 90.00
_space_group_name_H-M_alt 'P 1'
_space_group_IT_number 1
_space_group_name_Hall 'P 1'
loop_
_atom_site_label
_atom_site_type_symbol
_atom_site_fract_x
_atom_site_fract_y
_atom_site_fract_z
_atom_site_occupancy
F1 F 0.000 0.500 0.000 1
F2 F 0.500 0.000 0.000 1
F3 F 0.000 0.000 0.500 1
V1 V 0.000 0.000 0.000 1
Ti1 Ti 0.500 0.500 0.500 1

***

# TiV2F8 PBE+U relaxed
# E_tot ... -6.40 eV per atom
# Distance to the lowest polymorph of the same formula ... 0.000 eV per atom
# SG ... C2/m, No. 12
data_TiV2F8
_chemical_formula_sum 'Ti1 V2 F8'
_cell_length_a 4.343
_cell_length_b 6.913
_cell_length_c 5.881
_cell_angle_alpha 126.03
_cell_angle_beta 87.77
_cell_angle_gamma 90.00
_space_group_name_H-M_alt 'P 1'
_space_group_IT_number 1
_space_group_name_Hall 'P 1'
loop_
_atom_site_label
_atom_site_type_symbol
_atom_site_fract_x
_atom_site_fract_y
_atom_site_fract_z
_atom_site_occupancy
F1 F 0.246 0.598 0.196 1
F2 F 0.768 0.295 0.192 1
F3 F 0.232 0.705 0.807 1
V1 V 0.257 0.376 0.752 1
V2 V 0.743 0.624 0.248 1
F4 F 0.750 0.841 0.683 1
F5 F 0.754 0.402 0.804 1
Ti1 Ti 0.000 0.000 0.000 1
F6 F 0.250 0.159 0.317 1
F7 F 0.232 0.103 0.808 1
F8 F 0.768 0.897 0.192 1

***

# TiV3F PBE+U relaxed
# E_tot ... -5.98 eV per atom
# Distance to the lowest polymorph of the same formula ... 0.000 eV per atom
# SG ... Pm-3m, No. 221
data_TiV3F
_chemical_formula_sum 'Ti1 V3 F1'
_cell_length_a 4.379
_cell_length_b 4.379
_cell_length_c 4.379
_cell_angle_alpha 90.00
_cell_angle_beta 90.00
_cell_angle_gamma 90.00
_space_group_name_H-M_alt 'P 1'
_space_group_IT_number 1
_space_group_name_Hall 'P 1'
loop_
_atom_site_label
_atom_site_type_symbol
_atom_site_fract_x
_atom_site_fract_y
_atom_site_fract_z
_atom_site_occupancy
V1 V 0.000 0.000 0.500 1
V2 V 0.000 0.500 0.000 1
Ti1 Ti 0.500 0.500 0.500 1
F1 F 0.000 0.000 0.000 1
V3 V 0.500 0.000 0.000 1

***

# TiV3F PBE+U relaxed
# E_tot ... -4.78 eV per atom
# Distance to the lowest polymorph of the same formula ... 1.201 eV per atom
# SG ... Pm-3m, No. 221
data_TiV3F
_chemical_formula_sum 'Ti1 V3 F1'
_cell_length_a 4.730
_cell_length_b 4.730
_cell_length_c 4.730
_cell_angle_alpha 90.00
_cell_angle_beta 90.00
_cell_angle_gamma 90.00
_space_group_name_H-M_alt 'P 1'
_space_group_IT_number 1
_space_group_name_Hall 'P 1'
loop_
_atom_site_label
_atom_site_type_symbol
_atom_site_fract_x
_atom_site_fract_y
_atom_site_fract_z
_atom_site_occupancy
Ti1 Ti 0.000 0.000 0.000 1
F1 F 0.500 0.500 0.500 1
V1 V 0.500 0.000 0.000 1
V2 V 0.000 0.000 0.500 1
V3 V 0.000 0.500 0.000 1

***

# Ti2VF8 PBE+U relaxed
# E_tot ... -6.50 eV per atom
# Distance to the lowest polymorph of the same formula ... 0.027 eV per atom
# SG ... P-3m1, No. 164
data_Ti2VF8
_chemical_formula_sum 'Ti2 V1 F8'
_cell_length_a 4.038
_cell_length_b 6.543
_cell_length_c 6.542
_cell_angle_alpha 120.01
_cell_angle_beta 90.00
_cell_angle_gamma 90.00
_space_group_name_H-M_alt 'P 1'
_space_group_IT_number 1
_space_group_name_Hall 'P 1'
loop_
_atom_site_label
_atom_site_type_symbol
_atom_site_fract_x
_atom_site_fract_y
_atom_site_fract_z
_atom_site_occupancy
Ti1 Ti 0.754 0.667 0.333 1
F1 F 0.254 0.667 0.333 1
F2 F 0.746 0.333 0.667 1
Ti2 Ti 0.246 0.333 0.667 1
F3 F 0.754 0.833 0.165 1
F4 F 0.246 0.668 0.833 1
F5 F 0.754 0.332 0.167 1
V1 V 0.000 0.000 0.000 1
F6 F 0.754 0.835 0.668 1
F7 F 0.246 0.167 0.835 1
F8 F 0.246 0.165 0.332 1

***

# TiVF2 PBE+U relaxed
# E_tot ... -6.17 eV per atom
# Distance to the lowest polymorph of the same formula ... 0.030 eV per atom
# SG ... R-3m, No. 166
data_TiVF2
_chemical_formula_sum 'Ti1 V1 F2'
_cell_length_a 6.708
_cell_length_b 6.708
_cell_length_c 6.708
_cell_angle_alpha 28.55
_cell_angle_beta 28.55
_cell_angle_gamma 28.55
_space_group_name_H-M_alt 'P 1'
_space_group_IT_number 1
_space_group_name_Hall 'P 1'
loop_
_atom_site_label
_atom_site_type_symbol
_atom_site_fract_x
_atom_site_fract_y
_atom_site_fract_z
_atom_site_occupancy
F1 F 0.115 0.115 0.115 1
F2 F 0.885 0.885 0.885 1
V1 V 0.500 0.500 0.500 1
Ti1 Ti 0.000 0.000 0.000 1

***

# Ti2VF8 PBE+U relaxed
# E_tot ... -6.52 eV per atom
# Distance to the lowest polymorph of the same formula ... 0.000 eV per atom
# SG ... C2/m, No. 12
data_Ti2VF8
_chemical_formula_sum 'Ti2 V1 F8'
_cell_length_a 5.177
_cell_length_b 5.360
_cell_length_c 5.360
_cell_angle_alpha 75.24
_cell_angle_beta 101.83
_cell_angle_gamma 101.83
_space_group_name_H-M_alt 'P 1'
_space_group_IT_number 1
_space_group_name_Hall 'P 1'
loop_
_atom_site_label
_atom_site_type_symbol
_atom_site_fract_x
_atom_site_fract_y
_atom_site_fract_z
_atom_site_occupancy
F1 F 0.302 0.342 0.953 1
F2 F 0.698 0.658 0.047 1
F3 F 0.698 0.047 0.658 1
Ti1 Ti 0.443 0.682 0.682 1
V1 V 0.000 0.000 0.000 1
F4 F 0.736 0.558 0.558 1
F5 F 0.216 0.830 0.830 1
F6 F 0.302 0.953 0.342 1
Ti2 Ti 0.557 0.318 0.318 1
F7 F 0.784 0.170 0.170 1
F8 F 0.264 0.442 0.442 1

***

# TiVF2 PBE+U relaxed
# E_tot ... -5.39 eV per atom
# Distance to the lowest polymorph of the same formula ... 0.811 eV per atom
# SG ... Fm-3m, No. 225
data_TiVF2
_chemical_formula_sum 'Ti1 V1 F2'
_cell_length_a 4.202
_cell_length_b 4.202
_cell_length_c 4.202
_cell_angle_alpha 60.00
_cell_angle_beta 60.00
_cell_angle_gamma 60.00
_space_group_name_H-M_alt 'P 1'
_space_group_IT_number 1
_space_group_name_Hall 'P 1'
loop_
_atom_site_label
_atom_site_type_symbol
_atom_site_fract_x
_atom_site_fract_y
_atom_site_fract_z
_atom_site_occupancy
F1 F 0.250 0.250 0.250 1
V1 V 0.500 0.500 0.500 1
F2 F 0.750 0.750 0.750 1
Ti1 Ti 0.000 0.000 0.000 1